(1)
## LiPAu2S4 (PBE)

Data for an optimized crystal structure of LiPAu2S4.

## Properties
Mass density   5.55 g/cm3
Energy   -4.080 eV per atom
Raw formation energy   -0.281 eV per atom

a b c (Å): 5.5449 5.5452 6.7100
angles (deg): 65.60 65.60 89.98
Space group P1 (No. 1)
Inequivalent atoms, fractional coordinates:
Li 0.0000 0.0000 0.0000 (multiplicity 1)
P 0.2499 0.7496 0.5001 (multiplicity 1)
Au 0.5009 0.4996 0.0003 (multiplicity 1)
Au 0.7497 0.2498 0.5008 (multiplicity 1)
S 0.1423 0.6525 0.2750 (multiplicity 1)
S 0.3469 0.4169 0.7255 (multiplicity 1)
S 0.5826 0.0716 0.2754 (multiplicity 1)
S 0.9277 0.8574 0.7252 (multiplicity 1)

(2)
## LiP2AuS (PBE)

Data for an optimized crystal structure of LiP2AuS.

## Properties
Mass density   4.13 g/cm3
Offset from the most stable computed form   0 meV per atom
Energy   -3.346 eV per atom
Raw formation energy   0.682 eV per atom

a b c (Å): 4.7993 4.7993 5.2020
angles (deg): 90.00 90.00 90.00
Space group P4/mmm (No. 123)
Inequivalent atoms, fractional coordinates:
Li 0.0000 0.0000 0.0000 (multiplicity 1)
P 0.0000 0.5000 0.5000 (multiplicity 2)
Au 0.5000 0.5000 0.5000 (multiplicity 1)
S 0.5000 0.5000 0.0000 (multiplicity 1)

(3)
## LiPAuS2 (PBE)

Data for an optimized crystal structure of LiPAuS2.

## Properties
Mass density   4.16 g/cm3
Offset from the most stable computed form   0 meV per atom
Energy   -3.277 eV per atom
Raw formation energy   0.495 eV per atom

a b c (Å): 5.1045 5.1045 4.5851
angles (deg): 90.00 90.00 90.00
Space group P4/mmm (No. 123)
Inequivalent atoms, fractional coordinates:
Li 0.0000 0.0000 0.0000 (multiplicity 1)
P 0.5000 0.5000 0.0000 (multiplicity 1)
Au 0.5000 0.5000 0.5000 (multiplicity 1)
S 0.0000 0.5000 0.5000 (multiplicity 2)

(4)
## LiPAuS2 (PBE)

Data for an optimized crystal structure of LiPAuS2.

## Properties
Mass density   5.74 g/cm3
Offset from the most stable computed form   261 meV per atom
Energy   -3.016 eV per atom
Raw formation energy   0.756 eV per atom

a b c (Å): 4.4502 4.4502 4.3694
angles (deg): 90.00 90.00 90.00
Space group P4/mmm (No. 123)
Inequivalent atoms, fractional coordinates:
Li 0.0000 0.0000 0.0000 (multiplicity 1)
P 0.0000 0.0000 0.5000 (multiplicity 1)
Au 0.5000 0.5000 0.5000 (multiplicity 1)
S 0.0000 0.5000 0.0000 (multiplicity 2)

(5)
## Li2SmP2Au2 (PBE)

Data for an optimized crystal structure of Li2SmP2Au2.

## Properties
Mass density   8.63 g/cm3
Energy   -4.488 eV per atom

a b c (Å): 4.2220 4.2220 23.1889
angles (deg): 90.00 90.00 120.00
Space group R-3m (No. 166, hexagonal axes)
Inequivalent atoms, fractional coordinates:
Li 0.0000 0.0000 0.1478 (multiplicity 6)
Sm 0.0000 0.0000 0.0000 (multiplicity 3)
P 0.0000 0.0000 0.2599 (multiplicity 6)
Au 0.0000 0.0000 0.4345 (multiplicity 6)

(6)
## LiTaP2Au (PBE)

Data for an optimized crystal structure of LiTaP2Au.

## Properties
Mass density   6.07 g/cm3
Energy   -4.262 eV per atom

a b c (Å): 4.8676 4.8676 5.1578
angles (deg): 90.00 90.00 90.00
Space group P4/mmm (No. 123)
Inequivalent atoms, fractional coordinates:
Li 0.0000 0.0000 0.0000 (multiplicity 1)
Ta 0.5000 0.5000 0.0000 (multiplicity 1)
P 0.0000 0.5000 0.5000 (multiplicity 2)
Au 0.5000 0.5000 0.5000 (multiplicity 1)

(7)
## Li2PWAu (PBE)

Data for an optimized crystal structure of Li2PWAu.

## Properties
Mass density   5.86 g/cm3
Energy   -3.468 eV per atom

a b c (Å): 4.9260 4.9260 4.9725
angles (deg): 90.00 90.00 90.00
Space group P4/mmm (No. 123)
Inequivalent atoms, fractional coordinates:
Li 0.0000 0.5000 0.0000 (multiplicity 2)
P 0.0000 0.0000 0.5000 (multiplicity 1)
W 0.5000 0.5000 0.0000 (multiplicity 1)
Au 0.5000 0.5000 0.5000 (multiplicity 1)

(8)
## LiYPAu2 (PBE)

Data for an optimized crystal structure of LiYPAu2.

## Properties
Mass density   7.25 g/cm3
Energy   -4.264 eV per atom

a b c (Å): 4.8054 4.8054 5.1660
angles (deg): 90.00 90.00 90.00
Space group P4/mmm (No. 123)
Inequivalent atoms, fractional coordinates:
Li 0.0000 0.0000 0.0000 (multiplicity 1)
Y 0.5000 0.5000 0.0000 (multiplicity 1)
P 0.5000 0.5000 0.5000 (multiplicity 1)
Au 0.0000 0.5000 0.5000 (multiplicity 2)